Record 1
Here is In12Bi5Pb3 after structural relaxation from the Alexandria database. Energies are from PBE-GGA.

POSCAR file:
```
In12Bi5Pb3
1.0
-9.011 9.011 9.011
9.011 -9.011 9.011
9.011 9.011 -9.011
In Bi Pb
48 20 12
Cartesian
2.789 -0.237 1.401
10.728 5.907 -4.743
8.774 -1.401 2.789
13.754 -1.717 3.105
11.800 0.237 1.401
10.728 -3.105 4.743
1.401 2.789 -0.237
12.116 4.268 -1.717
5.907 4.743 -1.717
7.610 2.789 0.237
-0.237 1.401 2.789
4.743 -1.717 5.907
8.774 7.610 -2.789
4.743 1.717 3.105
7.610 -2.789 8.774
5.907 -4.743 10.728
3.105 4.743 1.717
10.412 6.222 0.237
2.789 8.774 -1.401
10.728 3.105 4.268
4.743 10.728 -3.105
8.774 1.401 6.222
1.717 3.105 4.743
2.789 0.237 7.610
6.222 8.774 1.401
7.295 5.907 4.268
0.237 7.610 2.789
4.268 -1.717 12.116
-1.717 5.907 4.743
6.222 0.237 10.412
-1.401 2.789 8.774
5.907 4.268 7.295
3.105 13.754 -1.717
1.401 11.800 0.237
4.268 7.295 5.907
0.237 1.401 11.800
4.268 10.728 3.105
9.249 7.610 6.222
1.401 6.222 8.774
3.105 4.268 10.728
-3.105 4.743 10.728
7.610 6.222 9.249
-1.717 12.116 4.268
-2.789 8.774 7.610
-4.743 10.728 5.907
0.237 10.412 6.222
-1.717 3.105 13.754
6.222 9.249 7.610
0.000 0.000 0.000
4.506 4.506 -4.506
4.506 -4.506 4.506
9.011 0.000 0.000
13.517 2.253 0.000
9.011 -4.506 6.758
6.758 9.011 -4.506
6.758 0.000 4.506
4.506 6.758 0.000
9.011 4.506 2.253
-4.506 4.506 4.506
0.000 9.011 0.000
0.000 0.000 9.011
4.506 4.506 4.506
0.000 4.506 6.758
4.506 2.253 9.011
2.253 9.011 4.506
2.253 0.000 13.517
0.000 13.517 2.253
-4.506 6.758 9.011
4.506 2.253 0.000
9.011 4.506 -2.253
2.253 0.000 4.506
11.264 0.000 4.506
0.000 4.506 2.253
4.506 -2.253 9.011
4.506 11.264 0.000
9.011 4.506 6.758
-2.253 9.011 4.506
6.758 9.011 4.506
0.000 4.506 11.264
4.506 6.758 9.011
```

Summary:
Calculated volume = 36.59 Å³ per atom
SG = No. 230
Formation energy from the elements = 0.142 eV/atom
Crystal system = cubic
Fermi-level density of states = 0.312 states/eV per atom

Record 2
Here is K2LiRuO4 after structural relaxation from the Alexandria database. Energies are from PBE-GGA.

POSCAR file:
```
K2LiRuO4
1.0
0.000 6.077 9.335
2.554 0.000 9.335
2.554 6.077 0.000
K Li Ru O
4 2 2 8
Cartesian
1.915 4.558 0.934
3.192 7.596 5.602
1.915 4.558 13.068
3.192 7.596 17.736
0.638 1.519 2.334
4.469 10.634 16.336
1.915 4.558 7.001
3.192 7.596 11.669
1.966 2.682 3.091
3.141 5.721 7.759
1.865 6.433 3.091
1.865 2.682 10.911
3.243 9.471 7.759
3.243 5.721 15.579
1.966 6.433 10.911
3.141 9.471 15.579
```

Summary:
Calculated volume = 18.11 Å³ per atom
SG = No. 70
Crystal system = orthorhombic
Energy relative to the elements, uncorrected = -1.28 eV per atom
Fermi-level density of states = 0.050 states/eV per atom

Record 3
Here is HoLuAs after structural relaxation from the Alexandria database. Energies are from PBE-GGA.

POSCAR file:
```
HoLuAs
1.0
4.654 0.000 0.000
-2.327 4.031 0.000
0.000 0.000 4.134
Ho Lu As
1 1 1
Cartesian
0.000 0.000 0.000
2.327 1.344 2.073
0.000 2.687 2.861
```

Summary:
Calculated volume = 25.85 Å³ per atom
SG = No. 156
Formation energy from the elements = -0.529 eV/atom
Crystal system = trigonal
Fermi-level density of states = 1.033 states/eV per atom

Record 4
Here is ErSiPt after structural relaxation from the Alexandria database. Energies are from PBE-GGA.

POSCAR file:
```
ErSiPt
1.0
4.296 0.000 0.000
-2.148 3.721 0.000
0.000 0.000 3.543
Er Si Pt
1 1 1
Cartesian
0.000 0.000 0.000
2.148 1.240 1.771
0.000 2.481 1.771
```

Summary:
Calculated volume = 18.88 Å³ per atom
SG = No. 187
Crystal system = hexagonal
Energy relative to the elements, uncorrected = -1.16 eV per atom
Fermi-level density of states = 0.512 states/eV per atom

Record 5
Here is Sm3Sc4S8 after structural relaxation from the Alexandria database. Energies are from PBE-GGA.

POSCAR file:
```
Sm3Sc4S8
1.0
5.439 -5.443 0.000
5.439 5.443 0.000
-5.356 0.000 5.440
Sm Sc S
3 4 8
Cartesian
0.000 0.000 0.000
0.042 2.722 2.720
0.042 -2.722 2.720
2.720 2.722 0.000
2.720 -2.722 0.000
5.439 0.000 0.000
2.762 0.000 2.720
2.762 2.647 2.720
5.439 2.632 0.000
2.807 0.000 0.060
0.121 0.000 2.810
5.402 0.000 2.630
2.716 0.000 5.379
5.439 -2.632 0.000
2.762 -2.647 2.720
```

Summary:
Calculated volume = 21.47 Å³ per atom
SG = No. 12
Crystal system = monoclinic
Energy relative to the elements, uncorrected = -1.94 eV per atom
Fermi-level density of states = 0.488 states/eV per atom

Record 6
Here is Ba2CaCd after structural relaxation from the Alexandria database. Energies are from PBE-GGA.

POSCAR file:
```
Ba2CaCd
1.0
6.251 0.000 0.000
0.000 6.251 0.000
0.000 0.000 4.549
Ba Ca Cd
2 1 1
Cartesian
0.000 3.126 0.000
3.126 0.000 0.000
0.000 0.000 2.274
3.126 3.126 2.274
```

Summary:
Calculated volume = 44.44 Å³ per atom
SG = No. 123
Formation energy from the elements = -0.088 eV/atom
Crystal system = tetragonal
Fermi-level density of states = 1.449 states/eV per atom

Record 7
Here is PuAl4Cd after structural relaxation from the Alexandria database. Energies are from PBE-GGA.

POSCAR file:
```
PuAl4Cd
1.0
0.000 3.907 3.907
3.907 0.000 3.907
3.907 3.907 0.000
Pu Al Cd
1 4 1
Cartesian
0.000 0.000 0.000
4.894 2.921 2.921
2.921 4.894 2.921
2.921 2.921 4.894
4.894 4.894 4.894
1.954 1.954 1.954
```

Summary:
Calculated volume = 19.88 Å³ per atom
SG = No. 216
Formation energy from the elements = -0.066 eV/atom
Crystal system = cubic
Fermi-level density of states = 2.106 states/eV per atom

Record 8
Here is CaTcCl2 after structural relaxation from the Alexandria database. Energies are from PBE-GGA.

POSCAR file:
```
CaTcCl2
1.0
3.305 0.000 0.000
0.000 3.305 0.000
0.000 0.000 10.988
Ca Tc Cl
1 1 2
Cartesian
0.000 0.000 0.000
0.000 0.000 5.494
1.652 1.652 1.595
1.652 1.652 9.394
```

Summary:
Calculated volume = 30.01 Å³ per atom
SG = No. 123
Offset from the most stable computed form = 182.2 meV/atom
Crystal system = tetragonal
Energy relative to the elements, uncorrected = -0.36 eV per atom
Fermi-level density of states = 0.392 states/eV per atom

Record 9
Here is SrMgP2S after structural relaxation from the Alexandria database. Energies are from PBE-GGA.

POSCAR file:
```
SrMgP2S
1.0
4.835 0.000 0.000
0.000 4.835 0.000
0.000 0.000 5.038
Sr Mg P S
1 1 2 1
Cartesian
0.000 0.000 0.000
2.417 2.417 2.519
0.000 2.417 2.519
2.417 0.000 2.519
2.417 2.417 0.000
```

Summary:
Calculated volume = 23.55 Å³ per atom
SG = No. 123
Offset from the most stable computed form = 0.0 meV/atom
Crystal system = tetragonal
Energy relative to the elements, uncorrected = -0.22 eV per atom
Fermi-level density of states = 1.041 states/eV per atom

Record 10
Here is CaBi3Rh after structural relaxation from the Alexandria database. Energies are from PBE-GGA.

POSCAR file:
```
CaBi3Rh
1.0
4.575 0.000 0.000
0.000 2.485 6.217
0.000 -2.485 6.217
Ca Bi Rh
1 3 1
Cartesian
0.000 0.000 0.000
0.000 0.000 9.070
2.288 0.000 2.551
2.288 0.000 5.878
0.000 0.000 4.190
```

Summary:
Calculated volume = 28.27 Å³ per atom
SG = No. 38
Offset from the most stable computed form = 0.0 meV/atom
Formation energy from the elements = -0.354 eV/atom
Crystal system = orthorhombic
Fermi-level density of states = 0.688 states/eV per atom

Record 11
Here is Ac2Tm after structural relaxation from the Alexandria database. Energies are from PBE-GGA.

POSCAR file:
```
Ac2Tm
1.0
6.033 -2.687 0.000
6.033 2.687 0.000
-1.237 0.000 3.667
Ac Tm
2 1
Cartesian
1.774 0.000 0.600
9.055 0.000 3.067
5.414 0.000 1.834
```

Summary:
Calculated volume = 39.64 Å³ per atom
SG = No. 12
Offset from the most stable computed form = 0.0 meV/atom
Formation energy from the elements = 0.065 eV/atom
Crystal system = monoclinic
Fermi-level density of states = 1.262 states/eV per atom

Record 12
Here is Na3CaTa after structural relaxation from the Alexandria database. Energies are from PBE-GGA.

POSCAR file:
```
Na3CaTa
1.0
5.751 0.000 0.000
0.000 5.751 0.000
0.000 0.000 5.751
Na Ca Ta
3 1 1
Cartesian
0.000 0.000 2.875
0.000 2.875 0.000
2.875 0.000 0.000
0.000 0.000 0.000
2.875 2.875 2.875
```

Summary:
Calculated volume = 38.04 Å³ per atom
SG = No. 221
Offset from the most stable computed form = 416.0 meV/atom
Formation energy from the elements = 1.732 eV/atom
Crystal system = cubic
Fermi-level density of states = 1.157 states/eV per atom